PrThOs, optimized geometry, DFT PBE; theoretical density = 10.544 g/cm³; space-group type = P2_1/m, No. 11; formation energy from the elements = -0.18 eV/atom; DOS at the Fermi energy = 2.5 states/eV/f.u.; V = 29.563 A^3/atom; uncorrected energy = -7.99 eV/atom
1.0
5.4443 0.0000 0.0000
0.0000 4.5908 0.0000
-2.0375 0.0000 7.0969
Pr Th Os
2 2 2
Cartesian
0.4036 1.1477 3.0961
3.0033 3.4431 4.0008
-0.6404 1.1477 6.7067
4.0472 3.4431 0.3903
1.2730 3.4431 1.4195
2.1339 1.1477 5.6774